# 1
VASP calculation (PBE) on a relaxed structure of PmPrGaCo.

Unit cell a=4.2970 b=4.1871 c=5.7236 alpha=90.00 beta=112.05 gamma=90.00
Last column: nearest neighbours and their distance in Å.
Element x y z (fractional)
Pr 0.1461 0.0000 0.2921  3 Co 3.05-3.12, 4 Ga 3.14
Pm 0.8609 0.5000 0.7217  3 Ga 3.01-3.19, 4 Co 3.10
Ga 0.5600 0.5000 0.1199  2 Co 2.49
Co 0.4331 0.0000 0.8662  2 Ga 2.49

Output
Space-group type: Amm2
Density of states at the Fermi level: 1.04 states/eV/atom
Calculated total energy: -5.21 eV per atom
Distance to the lowest polymorph of the same formula: 0.0 kJ/mol of atoms


# 2
VASP calculation (PBE) on a relaxed structure of GaSnHg2N.

Unit cell a=5.7999 b=5.4922 c=5.7999 alpha=90.00 beta=90.00 gamma=90.00
Last column: nearest neighbours and their distance in Å.
Element x y z (fractional)
Sn 0.0000 0.0000 0.0000  2 Ga 2.75, 4 Hg 2.90
Hg 0.0000 0.0000 0.5000  2 Sn 2.90
Hg 0.5000 0.0000 0.0000  2 Sn 2.90
N 0.5000 0.5000 0.5000  8 Hg 3.99, 4 Ga 4.10
Ga 0.0000 0.5000 0.0000  2 Sn 2.75

Output
Space-group type: P4/mmm
Density of states at the Fermi level: 0.50 states/eV/atom
Calculated total energy: -1.95 eV per atom
Energy relative to the elements, uncorrected: 1242 meV/atom


# 3
VASP calculation (PBE) on a relaxed structure of Ba5Hg2Ir.

Unit cell a=7.8967 b=8.9055 c=10.8662 alpha=97.07 beta=111.31 gamma=90.00
Last column: nearest neighbours and their distance in Å.
Element x y z (fractional)
Ba 0.2908 0.8030 0.4343  2 Ir 3.12-3.18
Hg 0.6989 0.9290 0.7950  6 Ba 3.43-3.68
Ba 0.0816 0.7500 0.0000  4 Hg 3.43-3.55
Ba 0.7092 0.1970 0.5657  2 Ir 3.12-3.18
Hg 0.0961 0.4290 0.7950  6 Ba 3.43-3.68
Hg 0.3011 0.0710 0.2050  6 Ba 3.43-3.68
Ba 0.4801 0.4323 0.2129  1 Ir 3.05
Ba 0.7328 0.9323 0.2129  1 Ir 3.05
Ba 0.9184 0.2500 0.0000  4 Hg 3.43-3.55
Ba 0.5199 0.5677 0.7871  1 Ir 3.05
Ba 0.2672 0.0677 0.7871  1 Ir 3.05
Ir 0.5000 0.5000 0.5000  6 Ba 3.05-3.18
Ir 0.0000 0.0000 0.5000  6 Ba 3.05-3.18
Hg 0.9039 0.5710 0.2050  6 Ba 3.43-3.68
Ba 0.1436 0.3030 0.4343  2 Ir 3.12-3.18
Ba 0.8564 0.6970 0.5657  2 Ir 3.12-3.18

Output
Space-group type: C2/c
Density of states at the Fermi level: 0.78 states/eV/atom
Calculated total energy: -2.69 eV per atom


# 4
VASP calculation (PBE) on a relaxed structure of Mg2FeP2Ir.

Unit cell a=5.5329 b=5.5337 c=7.0905 alpha=112.95 beta=112.96 gamma=90.00
Last column: nearest neighbours and their distance in Å.
Element x y z (fractional)
Mg 0.9202 0.6674 0.3355  4 P 2.62-2.85, 2 Ir 2.78, 2 Fe 2.79
P 0.1669 0.8893 0.7784  2 Fe 2.27, 2 Ir 2.45
Ir 0.9999 0.7500 0.0000  4 P 2.45
Mg 0.0798 0.3326 0.6645  4 P 2.62-2.85, 2 Ir 2.78, 2 Fe 2.79
Mg 0.5847 0.8326 0.6645  4 P 2.62-2.85, 2 Ir 2.78, 2 Fe 2.79
Fe 0.5000 0.7500 0.0000  4 P 2.27
Ir 0.0001 0.2500 0.0000  4 P 2.45
Mg 0.4153 0.1674 0.3355  4 P 2.62-2.85, 2 Ir 2.78, 2 Fe 2.79
P 0.8331 0.1107 0.2216  2 Fe 2.27, 2 Ir 2.45
Fe 0.5000 0.2500 0.0000  4 P 2.27
P 0.3885 0.6107 0.2216  2 Fe 2.27, 2 Ir 2.45
P 0.6115 0.3893 0.7784  2 Fe 2.27, 2 Ir 2.45

Output
Space-group type: Ibam
Density of states at the Fermi level: 0.37 states/eV/atom
Calculated total energy: -5.75 eV per atom